DFT (PBE) results for crystalline Al2FeTe at its relaxed geometry.

The structure in POSCAR format:
```
Al2FeTe
1.0
-1.5939 2.4999 0.4113
-1.5043 -0.5593 -2.4297
-5.6057 -4.3063 4.4493
Al Fe Te
2 1 1
Direct
0.0000 0.7508 0.0894
0.0000 0.7492 0.4106
0.5000 0.2500 0.2500
0.5000 0.7500 0.7500
```

Output
The energy relative to the elements, uncorrected comes out at -0.3 eV per formula unit. The calculated volume comes out at 72.8 Å³/cell.

***

DFT (PBE) results for crystalline Zn2Ni2Bi at its relaxed geometry.

The structure in POSCAR format:
```
Zn2Ni2Bi
1.0
4.1815 0.0000 0.0000
0.0000 4.1815 0.0000
2.0908 2.0908 4.8504
Zn Bi Ni
2 1 2
Direct
0.3696 0.3696 0.2608
0.6304 0.6304 0.7392
0.0000 0.0000 0.0000
0.7500 0.2500 0.5000
0.2500 0.7500 0.5000
```

Output
The calculation puts the energy above the lowest structure with this stoichiometry at 0.116 eV/atom. Its energy relative to the elements is 0.146 eV per atom. The calculated volume comes out at 84.8 Å³/cell.

***

DFT (PBE) results for crystalline Th2H2I7 at its relaxed geometry.

The structure in POSCAR format:
```
Th2H2I7
1.0
4.0392 0.0000 0.7370
1.9252 10.5085 0.8858
-0.0044 -4.0980 11.4617
Th I H
2 7 2
Direct
0.7035 0.9159 0.6772
0.2608 0.2869 0.1915
0.7092 0.4690 0.1127
0.8884 0.0472 0.1760
0.1431 0.1092 0.6046
0.4717 0.1508 0.9058
0.6134 0.3526 0.4206
0.2008 0.7852 0.8133
0.3950 0.7354 0.4746
0.1085 0.4722 0.3109
0.5059 0.5294 0.4588
```

Output
The calculation puts the total energy at -0.1369 Ha/atom. The calculated volume comes out at 495.4 Å³/cell.

***

DFT (PBE) results for crystalline DyErTl6 at its relaxed geometry.

The structure in POSCAR format:
```
DyErTl6
1.0
4.7584 0.0000 0.0000
0.0000 4.7584 0.0000
0.0000 0.0000 9.5212
Tl Dy Er
6 1 1
Direct
0.5000 0.5000 0.0000
0.5000 0.0000 0.2492
0.5000 0.0000 0.7508
0.0000 0.5000 0.2492
0.5000 0.5000 0.5000
0.0000 0.5000 0.7508
0.0000 0.0000 0.5000
0.0000 0.0000 0.0000
```

Output
Its energy relative to the elements is -0.218 eV per atom. The calculated volume comes out at 215.6 Å³/cell.

***

DFT (PBE) results for crystalline PmEr2Bi at its relaxed geometry.

The structure in POSCAR format:
```
PmEr2Bi
1.0
-0.3705 4.3750 -2.0792
-4.8715 -0.4396 -0.0569
-0.2394 2.0806 4.4206
Er Pm Bi
2 1 1
Direct
0.0000 0.0000 0.5000
0.0000 0.5000 0.0000
0.5000 0.5000 0.5000
0.5000 0.0000 0.0000
```

Output
The calculation puts the energy above the lowest structure with this stoichiometry at 0.115 eV/atom. Its energy relative to the elements is -0.343 eV per atom. The calculated volume comes out at 116.2 Å³/cell.

***

DFT (PBE) results for crystalline Ce6CdRu at its relaxed geometry.

The structure in POSCAR format:
```
Ce6CdRu
1.0
-0.9863 5.7237 -2.0403
-3.4994 -3.3173 -3.8270
-3.5224 -0.0462 5.1882
Ru Cd Ce
1 1 6
Direct
0.5000 0.5000 0.5000
0.0000 0.0000 0.0000
0.1695 0.5835 0.1949
0.4165 0.8305 0.8051
0.5835 0.1695 0.1949
0.8148 0.8148 0.4009
0.1852 0.1852 0.5991
0.8305 0.4165 0.8051
```

Output
Its energy relative to the elements is -0.014 eV per atom. The calculated volume comes out at 221.7 Å³/cell.

***

DFT (PBE) results for crystalline Gd2ErPu at its relaxed geometry.

The structure in POSCAR format:
```
Gd2ErPu
1.0
-0.0295 0.6447 5.5571
4.7973 -0.2341 2.8687
2.1202 4.6439 2.2886
Gd Pu Er
2 1 1
Direct
0.2500 0.2500 0.2500
0.7500 0.7500 0.7500
0.5000 0.5000 0.5000
0.0000 0.0000 0.0000
```

Output
The calculation puts the energy above the lowest structure with this stoichiometry at 0.079 eV/atom. Its energy relative to the elements is 0.176 eV per atom. The calculated volume comes out at 123.8 Å³/cell.

***

DFT (PBE) results for crystalline CaTbEuAl at its relaxed geometry.

The structure in POSCAR format:
```
CaTbEuAl
1.0
5.5166 0.0000 0.0000
2.7583 4.7775 0.0000
2.7583 1.5925 4.5043
Tb Al Eu Ca
1 1 1 1
Direct
0.7500 0.7500 0.7500
0.0000 0.0000 0.0000
0.2500 0.2500 0.2500
0.5000 0.5000 0.5000
```

Output
Its energy relative to the elements is -0.030 eV per atom. The calculated volume comes out at 118.7 Å³/cell.

***

DFT (PBE) results for crystalline CeTaSe2 at its relaxed geometry.

The structure in POSCAR format:
```
CeTaSe2
1.0
3.4260 0.0000 0.0000
1.7130 2.9670 0.0000
1.7130 0.9890 9.4861
Ce Se Ta
1 2 1
Direct
0.0000 0.0000 0.0000
0.8938 0.8938 0.3185
0.1062 0.1062 0.6815
0.5000 0.5000 0.5000
```

Output
The energy relative to the elements, uncorrected comes out at -2.2 eV per formula unit. The calculated volume comes out at 96.4 Å³/cell.

***

DFT (PBE) results for crystalline Mg3ScCr at its relaxed geometry.

The structure in POSCAR format:
```
Mg3ScCr
1.0
5.0114 0.0000 0.0000
0.0000 5.0114 0.0000
0.0000 0.0000 5.0114
Mg Sc Cr
3 1 1
Direct
0.0000 0.0000 0.5000
0.5000 0.0000 0.0000
0.0000 0.5000 0.0000
0.5000 0.5000 0.5000
0.0000 0.0000 0.0000
```

Output
The calculation puts the energy above the lowest structure with this stoichiometry at 0.000 eV/atom. Its energy relative to the elements is 0.675 eV per atom. The calculated volume comes out at 125.9 Å³/cell.

***

DFT (PBE) results for crystalline CsK3NaAu at its relaxed geometry.

The structure in POSCAR format:
```
CsK3NaAu
1.0
-1.7998 -9.1593 2.0938
3.2783 1.6296 9.9465
-8.6193 1.0142 -2.9723
K Cs Na Au
6 2 2 2
Direct
0.0000 0.7829 0.0000
0.7500 0.7921 0.5843
0.5000 0.7829 0.0000
0.0000 0.2171 0.0000
0.2500 0.2079 0.4157
0.5000 0.2171 0.0000
0.7500 0.2530 0.5059
0.2500 0.7470 0.4941
0.2500 0.4572 0.9143
0.7500 0.5428 0.0857
0.2500 0.9874 0.9749
0.7500 0.0126 0.0251
```

Output
Its energy relative to the elements is -0.054 eV per atom. The calculated volume comes out at 759.2 Å³/cell.

***

DFT (PBE) results for crystalline LiCu3Ag at its relaxed geometry.

The structure in POSCAR format:
```
LiCu3Ag
1.0
4.7955 0.0000 0.0000
0.0000 4.7955 0.0000
0.0000 0.0000 4.7955
Cu Li Ag
3 1 1
Direct
0.0000 0.0000 0.5000
0.5000 0.0000 0.0000
0.0000 0.5000 0.0000
0.5000 0.5000 0.5000
0.0000 0.0000 0.0000
```

Output
The calculation puts the energy above the lowest structure with this stoichiometry at 0.126 eV/atom. Its energy relative to the elements is 0.721 eV per atom. The calculated volume comes out at 110.3 Å³/cell.

***

DFT (PBE) results for crystalline Mg2SiSb at its relaxed geometry.

The structure in POSCAR format:
```
Mg2SiSb
1.0
-2.7028 0.9358 1.4199
-0.3191 -3.0946 0.7203
4.1807 1.2322 7.1460
Mg Sb Si
2 1 1
Direct
0.0000 0.0000 0.9649
0.0000 0.0000 0.5351
0.5000 0.5000 0.2500
0.5000 0.5000 0.7500
```

Output
The calculation puts the energy above the lowest structure with this stoichiometry at 0.001 eV/atom. The energy relative to the elements, uncorrected comes out at 0.0 eV per formula unit. The calculated volume comes out at 84.9 Å³/cell.

***

DFT (PBE) results for crystalline TiInS3 at its relaxed geometry.

The structure in POSCAR format:
```
TiInS3
1.0
-0.3268 1.8196 -4.3920
0.4663 -4.3689 -1.8448
-4.7311 -0.5563 0.1216
In Ti S
1 1 3
Direct
0.5000 0.5000 0.5000
0.0000 0.0000 0.0000
0.0000 0.0000 0.5000
0.0000 0.5000 0.0000
0.5000 0.0000 0.0000
```

Output
The calculation puts the energy above the lowest structure with this stoichiometry at 0.194 eV/atom. The energy relative to the elements, uncorrected comes out at -3.1 eV per formula unit. The calculated volume comes out at 108.2 Å³/cell.

***

DFT (PBE) results for crystalline Al2GaOsPb at its relaxed geometry.

The structure in POSCAR format:
```
Al2GaOsPb
1.0
-0.1249 2.6785 -3.9810
-5.2988 -0.3843 -0.0924
-0.3345 3.9678 2.6801
Al Ga Os Pb
2 1 1 1
Direct
0.5000 0.0000 0.0000
0.0000 0.0000 0.5000
0.5000 0.5000 0.5000
0.0000 0.0000 0.0000
0.0000 0.5000 0.0000
```

Output
Its energy relative to the elements is 0.281 eV per atom. The calculated volume comes out at 122.4 Å³/cell.

***

DFT (PBE) results for crystalline HoTm2Th2 at its relaxed geometry.

The structure in POSCAR format:
```
HoTm2Th2
1.0
-4.8245 3.8145 -0.1997
-0.6476 -0.4514 7.0236
10.4349 9.9210 1.5999
Tm Ho Th
8 4 8
Direct
0.9507 0.6252 0.0987
0.5493 0.1252 0.9013
0.0493 0.3748 0.9013
0.4507 0.8748 0.0987
0.8515 0.8770 0.3030
0.6485 0.3770 0.6970
0.3515 0.6230 0.3030
0.1485 0.1230 0.6970
0.6498 0.8736 0.6982
0.8502 0.3737 0.3018
0.3502 0.1264 0.3018
0.1498 0.6263 0.6982
0.7510 0.6245 0.4994
0.9493 0.1287 0.0985
0.7490 0.1245 0.5006
0.5507 0.6287 0.9015
0.2510 0.8755 0.4994
0.4493 0.3713 0.0985
0.2490 0.3755 0.5006
0.0507 0.8713 0.9015
```

Output
The calculation puts the energy above the lowest structure with this stoichiometry at 0.000 eV/atom. Its energy relative to the elements is 0.027 eV per atom. The calculated volume comes out at 623.5 Å³/cell.

***

DFT (PBE) results for crystalline HgP2Ru at its relaxed geometry.

The structure in POSCAR format:
```
HgP2Ru
1.0
4.6469 -0.0115 0.0000
0.8049 4.5766 0.0000
-2.7259 -2.2826 2.9921
Ru P Hg
1 2 1
Direct
0.2500 0.7500 0.5000
0.5000 0.5000 0.0000
0.0000 0.0000 0.0000
0.7500 0.2500 0.5000
```

Output
Its energy relative to the elements is 0.551 eV per atom. The calculated volume comes out at 63.7 Å³/cell.

***

DFT (PBE) results for crystalline Li2CePb2 at its relaxed geometry.

The structure in POSCAR format:
```
Li2CePb2
1.0
4.6725 0.0000 0.0000
0.0000 4.6573 0.2532
0.0000 -0.5959 10.9653
Pb Li Ce
4 4 2
Direct
0.2500 0.2500 0.0007
0.7500 0.2499 0.3673
0.7500 0.7500 0.9993
0.2500 0.7501 0.6327
0.2500 0.2501 0.4999
0.2500 0.7500 0.8670
0.7500 0.2500 0.1330
0.7500 0.7499 0.5001
0.7500 0.2500 0.7434
0.2500 0.7500 0.2566
```

Output
The calculation puts the energy above the lowest structure with this stoichiometry at 0.000 eV/atom. Its energy relative to the elements is -0.321 eV per atom. The calculated volume comes out at 239.3 Å³/cell.

***

DFT (PBE) results for crystalline CrFe6Mo at its relaxed geometry.

The structure in POSCAR format:
```
CrFe6Mo
1.0
-3.9006 1.8349 -4.4630
5.4282 -1.6155 -2.5348
-3.3106 -9.5216 -1.0211
Fe Cr Mo
24 4 4
Direct
0.7470 0.2530 0.5049
0.5000 0.5000 0.2500
0.8672 0.6204 0.3777
0.1284 0.3814 0.8728
0.8716 0.6186 0.8728
0.1328 0.3796 0.1223
0.1328 0.3796 0.3777
0.0000 0.0000 0.7500
0.6186 0.8716 0.6272
0.3814 0.1284 0.8728
0.0000 0.0000 0.2500
0.8716 0.6186 0.6272
0.3796 0.1328 0.1223
0.3814 0.1284 0.6272
0.1284 0.3814 0.6272
0.6204 0.8672 0.1223
0.6186 0.8716 0.8728
0.2530 0.7470 0.9951
0.8672 0.6204 0.1223
0.6204 0.8672 0.3777
0.3796 0.1328 0.3777
0.2530 0.7470 0.5049
0.7470 0.2530 0.9951
0.5000 0.5000 0.7500
0.5000 0.5000 0.4985
0.5000 0.5000 0.0015
0.7526 0.2474 0.7500
0.2474 0.7526 0.7500
0.0000 0.0000 0.0018
0.7538 0.2462 0.2500
0.0000 0.0000 0.4982
0.2462 0.7538 0.2500
```

Output
Its energy relative to the elements is 0.077 eV per atom. The calculated volume comes out at 367.8 Å³/cell.

***

DFT (PBE) results for crystalline TmPaZn2 at its relaxed geometry.

The structure in POSCAR format:
```
TmPaZn2
1.0
-1.5442 -2.7524 0.5134
2.6278 -1.6271 -0.8193
2.5011 0.0680 7.8870
Tm Zn Pa
1 2 1
Direct
0.5000 0.5000 0.5000
0.0000 0.0000 0.7429
0.0000 0.0000 0.2571
0.5000 0.5000 0.0000
```

Output
The calculation puts the energy above the lowest structure with this stoichiometry at 0.000 eV/atom. Its energy relative to the elements is -0.124 eV per atom. The calculated volume comes out at 84.6 Å³/cell.

***

DFT (PBE) results for crystalline TiAl4Co at its relaxed geometry.

The structure in POSCAR format:
```
TiAl4Co
1.0
3.9533 0.0000 0.0000
0.0000 3.9533 0.0000
0.0000 0.0000 6.7726
Al Co Ti
4 1 1
Direct
0.5000 0.0000 0.2909
0.5000 0.0000 0.7091
0.0000 0.5000 0.2909
0.0000 0.5000 0.7091
0.5000 0.5000 0.5000
0.0000 0.0000 0.0000
```

Output
Its energy relative to the elements is -0.007 eV per atom. The calculated volume comes out at 105.8 Å³/cell.

***

DFT (PBE) results for crystalline Sm2TeSe at its relaxed geometry.

The structure in POSCAR format:
```
Sm2TeSe
1.0
-1.9913 -3.7299 -0.7849
-0.8553 -2.7029 3.2336
-7.2296 1.0045 1.7869
Sm Te Se
2 1 1
Direct
0.7387 0.7387 0.7840
0.2613 0.2613 0.2160
0.5000 0.5000 0.5000
0.0000 0.0000 0.0000
```

Output
The calculation puts the energy above the lowest structure with this stoichiometry at 0.018 eV/atom. The energy relative to the elements, uncorrected comes out at -6.5 eV per formula unit. The calculated volume comes out at 113.6 Å³/cell.

***

DFT (PBE) results for crystalline KPbBr at its relaxed geometry.

The structure in POSCAR format:
```
KPbBr
1.0
5.7094 0.0000 0.0000
2.8547 4.9445 0.0000
2.8547 1.6482 4.6617
K Pb Br
1 1 1
Direct
0.7500 0.7500 0.7500
0.0000 0.0000 0.0000
0.5000 0.5000 0.5000
```

Output
The calculation puts the energy above the lowest structure with this stoichiometry at 0.435 eV/atom. The energy relative to the elements, uncorrected comes out at -0.4 eV per formula unit. The calculated volume comes out at 131.6 Å³/cell.

***

DFT (PBE) results for crystalline CsHPt3 at its relaxed geometry.

The structure in POSCAR format:
```
CsHPt3
1.0
-0.4589 3.6000 -3.8472
-1.5190 -3.7882 -3.3636
-5.0452 0.8131 1.3626
Pt Cs H
3 1 1
Direct
0.5000 0.0000 0.0000
0.0000 0.5000 0.0000
0.0000 0.0000 0.5000
0.0000 0.0000 0.0000
0.5000 0.5000 0.5000
```

Output
The calculation puts the energy above the lowest structure with this stoichiometry at 1.807 eV/atom. The calculated volume comes out at 147.9 Å³/cell.

***

DFT (PBE) results for crystalline TcAg2P at its relaxed geometry.

The structure in POSCAR format:
```
TcAg2P
1.0
1.5028 4.2272 0.2735
-1.5028 4.2272 0.2735
0.0000 1.8058 5.4293
Ag Tc P
2 1 1
Direct
0.7884 0.7884 0.7507
0.9986 0.9986 0.0010
0.2123 0.2123 0.3686
0.5007 0.5007 0.3797
```

Output
Its energy relative to the elements is 0.213 eV per atom. The calculated volume comes out at 67.5 Å³/cell.